DFT (PBE) results for a relaxed structure of Tb7Tm5.

Cell: 18.3727 3.5388 12.9579 Å, 90.00 118.17 90.00°
Space group C2/m (No. 12)
Symmetry-distinct sites (fractional):
Tb 0.0000 0.0000 0.0000
Tb 0.0279 0.5000 0.2497
Tb 0.1393 0.0000 0.7506
Tb 0.1672 0.0000 0.5018
Tm 0.0000 0.5000 0.5000
Tm 0.1672 0.5000 0.0007
Tm 0.1942 0.0000 0.2489

## Properties
- N(E_F) (states/eV/f.u.) = 16.4
- energy relative to the elements (eV/atom) = 0.01
- VASP energy (eV for the cell shown) = -109.40